SrTlCo2Pd | Alexandria via LeMat-Bulk | GGA-PBE | relaxed; space-group type = No. 123; energy of formation = 0.547 eV/atom
1.0
4.870 0.000 0.000
0.000 4.870 0.000
0.000 0.000 5.120
Sr Tl Co Pd
1 1 2 1
direct
0.000 0.000 0.000
0.500 0.500 0.000
0.000 0.500 0.500
0.500 0.000 0.500
0.500 0.500 0.500